LuScPa | GGA-PBE | relaxed

Properties
total DFT energy (no corrections): -20.0 eV per formula unit
energy of formation: 34 kJ/mol of formula units
magnetic moment: 0.2 μB per formula unit

Lattice parameters (Å, degrees): 7.6193 7.6193 7.6193 155.10 155.10 35.50
Element x y z (fractional)
Lu (0.0000, 0.0000, 0.0000)
Sc (0.6767, 0.6767, 0.0000)
Pa (0.3338, 0.3338, 0.0000)

=====

TmAl3B4O12 | GGA-PBE | relaxed

Properties
total DFT energy (no corrections): -158.6 eV per formula unit
magnetic moment: 0.0 μB per formula unit

Lattice parameters (Å, degrees): 5.9123 5.9123 5.9123 104.34 104.34 104.34
Element x y z (fractional)
Tm (0.0000, 0.0000, 0.0000)
Al (0.0000, 0.5550, 0.4450)
Al (0.4450, 0.0000, 0.5550)
Al (0.5550, 0.4450, 0.0000)
B (0.0558, 0.5000, 0.9442)
B (0.5000, 0.5000, 0.5000)
B (0.5000, 0.9442, 0.0558)
B (0.9442, 0.0558, 0.5000)
O (0.0287, 0.6310, 0.7818)
O (0.0924, 0.9076, 0.5000)
O (0.2182, 0.3690, 0.9713)
O (0.3513, 0.6487, 0.5000)
O (0.3690, 0.9713, 0.2182)
O (0.5000, 0.0924, 0.9076)
O (0.5000, 0.3513, 0.6487)
O (0.6310, 0.7818, 0.0287)
O (0.6487, 0.5000, 0.3513)
O (0.7818, 0.0287, 0.6310)
O (0.9076, 0.5000, 0.0924)
O (0.9713, 0.2182, 0.3690)

=====

La8PmDy6 | GGA-PBE | relaxed

Properties
total DFT energy (no corrections): -69.3 eV per formula unit
energy of formation: 242 kJ/mol of formula units
magnetic moment: 0.0 μB per formula unit

Lattice parameters (Å, degrees): 9.4923 9.4923 6.6809 90.00 90.00 120.00
Element x y z (fractional)
La (0.0450, 0.2934, 0.3310)
La (0.2483, 0.9550, 0.3310)
La (0.2934, 0.2483, 0.6690)
La (0.3333, 0.6667, 0.3796)
La (0.6667, 0.3333, 0.6204)
La (0.7066, 0.7517, 0.3310)
La (0.7517, 0.0450, 0.6690)
La (0.9550, 0.7066, 0.6690)
Pm (0.0000, 0.0000, 0.0000)
Dy (0.0986, 0.4393, 0.8459)
Dy (0.3407, 0.9014, 0.8459)
Dy (0.4393, 0.3407, 0.1541)
Dy (0.5607, 0.6593, 0.8459)
Dy (0.6593, 0.0986, 0.1541)
Dy (0.9014, 0.5607, 0.1541)

=====

Gd2PbN | GGA-PBE | relaxed

Properties
total DFT energy (no corrections): -44.3 eV per formula unit
magnetic moment: 14.1 μB per formula unit

Lattice parameters (Å, degrees): 8.2188 8.2188 8.2188 25.31 25.31 25.31
Element x y z (fractional)
Gd (0.2226, 0.2226, 0.2226)
Gd (0.7774, 0.7774, 0.7774)
Pb (0.0000, 0.0000, 0.0000)
N (0.5000, 0.5000, 0.5000)

=====

La2BiO | GGA-PBE | relaxed

Properties
total DFT energy (no corrections): -25.5 eV per formula unit
magnetic moment: 0.0 μB per formula unit

Lattice parameters (Å, degrees): 8.0522 8.0522 8.0522 27.93 27.93 27.93
Element x y z (fractional)
La (0.2248, 0.2248, 0.2248)
La (0.7752, 0.7752, 0.7752)
Bi (0.0000, 0.0000, 0.0000)
O (0.5000, 0.5000, 0.5000)

=====

CsNdAgBr5 | GGA-PBE | relaxed

Properties
total DFT energy (no corrections): -28.7 eV per formula unit
magnetic moment: 0.0 μB per formula unit

Lattice parameters (Å, degrees): 8.2559 8.2559 11.0483 102.37 102.37 108.22
Element x y z (fractional)
Cs (0.1547, 0.8453, 0.7500)
Cs (0.8453, 0.1547, 0.2500)
Nd (0.5000, 0.5000, 0.0000)
Nd (0.5000, 0.5000, 0.5000)
Ag (0.1885, 0.8115, 0.2500)
Ag (0.8115, 0.1885, 0.7500)
Br (0.1308, 0.2583, 0.9330)
Br (0.1989, 0.5991, 0.4063)
Br (0.2583, 0.1308, 0.4330)
Br (0.4009, 0.8011, 0.0937)
Br (0.4294, 0.5706, 0.7500)
Br (0.5706, 0.4294, 0.2500)
Br (0.5991, 0.1989, 0.9063)
Br (0.7417, 0.8692, 0.5670)
Br (0.8011, 0.4009, 0.5937)
Br (0.8692, 0.7417, 0.0670)

=====

Zr3TcIr2 | GGA-PBE | relaxed

Properties
total DFT energy (no corrections): -58.1 eV per formula unit
energy of formation: -419 kJ/mol of formula units
magnetic moment: 0.0 μB per formula unit

Lattice parameters (Å, degrees): 3.3391 3.3391 9.6880 90.00 90.00 90.00
Element x y z (fractional)
Zr (0.0000, 0.0000, 0.0000)
Zr (0.0000, 0.0000, 0.3359)
Zr (0.0000, 0.0000, 0.6641)
Tc (0.5000, 0.5000, 0.5000)
Ir (0.5000, 0.5000, 0.1637)
Ir (0.5000, 0.5000, 0.8363)

=====

AlMo3 | GGA-PBE | relaxed

Properties
total DFT energy (no corrections): -36.4 eV per formula unit
energy of formation: -12 kJ/mol of formula units
magnetic moment: 0.0 μB per formula unit

Lattice parameters (Å, degrees): 5.4159 5.4159 4.5075 90.00 90.00 109.91
Element x y z (fractional)
Al (0.1342, 0.8658, 0.7500)
Al (0.8658, 0.1342, 0.2500)
Mo (0.1392, 0.3664, 0.7500)
Mo (0.3647, 0.6353, 0.2500)
Mo (0.3664, 0.1392, 0.2500)
Mo (0.6336, 0.8608, 0.7500)
Mo (0.6353, 0.3647, 0.7500)
Mo (0.8608, 0.6336, 0.2500)

=====

TaNbI2 | GGA-PBE | relaxed

Properties
total DFT energy (no corrections): -19.4 eV per formula unit
magnetic moment: 2.8 μB per formula unit

Lattice parameters (Å, degrees): 7.3153 7.3153 7.3153 126.51 126.51 79.06
Element x y z (fractional)
Ta (0.0000, 0.0000, 0.0000)
Ta (0.7500, 0.2500, 0.5000)
Nb (0.2500, 0.7500, 0.5000)
Nb (0.5000, 0.5000, 0.0000)
I (0.1211, 0.6250, 0.9961)
I (0.3750, 0.3711, 0.4961)
I (0.6289, 0.1250, 0.0039)
I (0.8750, 0.8789, 0.5039)

=====

K3Ac3TcO8 | GGA-PBE | relaxed

Properties
total DFT energy (no corrections): -100.0 eV per formula unit
magnetic moment: 3.0 μB per formula unit

Lattice parameters (Å, degrees): 7.6229 7.6229 7.6229 57.82 57.82 57.82
Element x y z (fractional)
K (0.0000, 0.5000, 0.5000)
K (0.5000, 0.0000, 0.5000)
K (0.5000, 0.5000, 0.0000)
Ac (0.0000, 0.0000, 0.5000)
Ac (0.0000, 0.5000, 0.0000)
Ac (0.5000, 0.0000, 0.0000)
Tc (0.5000, 0.5000, 0.5000)
O (0.2334, 0.2334, 0.2334)
O (0.2728, 0.7009, 0.7009)
O (0.2991, 0.2991, 0.7272)
O (0.2991, 0.7272, 0.2991)
O (0.7009, 0.2728, 0.7009)
O (0.7009, 0.7009, 0.2728)
O (0.7272, 0.2991, 0.2991)
O (0.7666, 0.7666, 0.7666)

=====

FeC2BrN | GGA-PBE | relaxed

Properties
total DFT energy (no corrections): -17.3 eV per formula unit
magnetic moment: 0.2 μB per formula unit

Lattice parameters (Å, degrees): 3.8159 3.8159 4.5084 90.00 90.00 90.00
Element x y z (fractional)
Fe (0.0000, 0.0000, 0.0000)
C (0.0000, 0.5000, 0.5000)
C (0.5000, 0.0000, 0.5000)
Br (0.0000, 0.0000, 0.5000)
N (0.5000, 0.5000, 0.0000)

=====

Ac12LaSm3 | GGA-PBE | relaxed

Properties
total DFT energy (no corrections): -68.0 eV per formula unit
energy of formation: 40 kJ/mol of formula units
magnetic moment: 0.0 μB per formula unit

Lattice parameters (Å, degrees): 5.5351 5.5351 22.0856 90.00 90.00 90.00
Element x y z (fractional)
Ac (0.0000, 0.0000, 0.0000)
Ac (0.0000, 0.0000, 0.2484)
Ac (0.0000, 0.0000, 0.5000)
Ac (0.0000, 0.0000, 0.7516)
Ac (0.0000, 0.5000, 0.1244)
Ac (0.0000, 0.5000, 0.3732)
Ac (0.0000, 0.5000, 0.6268)
Ac (0.0000, 0.5000, 0.8756)
Ac (0.5000, 0.0000, 0.1244)
Ac (0.5000, 0.0000, 0.3732)
Ac (0.5000, 0.0000, 0.6268)
Ac (0.5000, 0.0000, 0.8756)
La (0.5000, 0.5000, 0.5000)
Sm (0.5000, 0.5000, 0.0000)
Sm (0.5000, 0.5000, 0.2488)
Sm (0.5000, 0.5000, 0.7512)

=====

Q: total DFT energy (no corrections) of number 1 (LuScPa)?
A: -20.0 eV per formula unit

=====

Q: What is the formula in the first record?
A: LuScPa

=====

Q: magnetic moment of number 10 (K3Ac3TcO8)?
A: 3.0 μB per formula unit